1.
Compound: InBiS
Source: Alexandria
Functional: PBE
Structure: relaxed

VASP energy, eV per atom: -3.74
Density, g/cm³: 7.1
M_tot, μB/atom: 0.0000

Lattice parameters (Å, degrees): 3.681 3.681 7.067 90.00 90.00 120.00
Atoms (fractional coordinates):
In 0.667 0.333 0.388
S 0.333 0.667 0.585
Bi 0.000 0.000 0.027

***

2.
Compound: Mg12Cd2Ga5
Source: Alexandria
Functional: PBE
Structure: relaxed

VASP energy, eV per atom: -1.91
Formation energy, eV per atom: -0.009
Density, g/cm³: 3.3
M_tot, μB/atom: 0.0000

Lattice parameters (Å, degrees): 6.079 8.247 9.450 101.09 90.00 111.63
Atoms (fractional coordinates):
Ga 0.293 0.585 0.605
Ga 0.363 0.726 0.127
Ga 0.000 0.000 0.500
Ga 0.637 0.274 0.873
Ga 0.707 0.415 0.395
Mg 0.473 0.946 0.673
Mg 0.111 0.713 0.376
Mg 0.945 0.396 0.120
Mg 0.889 0.287 0.624
Mg 0.451 0.396 0.120
Mg 0.549 0.604 0.880
Mg 0.055 0.604 0.880
Mg 0.527 0.054 0.327
Mg 0.602 0.713 0.376
Mg 0.872 0.744 0.661
Mg 0.128 0.256 0.339
Mg 0.398 0.287 0.624
Cd 0.759 0.000 0.000
Cd 0.241 0.000 0.000

***

3.
Compound: Ac2LaSmAs4
Source: Alexandria
Functional: PBE
Structure: relaxed

VASP energy, eV per atom: -6.06
Formation energy, eV per atom: -1.499
Density, g/cm³: 7.1
M_tot, μB/atom: 0.0000

Lattice parameters (Å, degrees): 4.426 7.666 7.659 70.58 90.00 90.00
Atoms (fractional coordinates):
As 0.500 0.265 0.742
As 0.500 0.735 0.258
As 0.000 0.737 0.751
As 0.000 0.263 0.249
La 0.500 0.500 0.000
Ac 0.000 0.000 0.000
Ac 0.500 0.000 0.500
Sm 0.000 0.500 0.500

***

4.
Compound: GdScRu4
Source: Alexandria
Functional: PBE
Structure: relaxed

VASP energy, eV per atom: -9.87
Formation energy, eV per atom: -0.285
Density, g/cm³: 9.7
M_tot, μB/atom: 1.0840

Lattice parameters (Å, degrees): 5.279 5.279 5.279 60.00 60.00 60.00
Each line ends with the local moment (μB).
Atoms (fractional coordinates):
Gd 0.250 0.250 0.250  7.01
Ru 0.625 0.124 0.625  -0.17
Ru 0.625 0.625 0.625  -0.17
Ru 0.124 0.625 0.625  -0.17
Ru 0.625 0.625 0.124  -0.17
Sc 0.000 0.000 0.000  0.05

***

5.
Compound: EuHoErLu
Source: Alexandria
Functional: PBE
Structure: relaxed

VASP energy, eV per atom: -5.82
Formation energy, eV per atom: 0.166
Density, g/cm³: 8.5
M_tot, μB/atom: 1.8702

Lattice parameters (Å, degrees): 5.673 5.673 5.673 60.00 60.00 60.00
Each line ends with the local moment (μB).
Atoms (fractional coordinates):
Er 0.000 0.000 0.000  0.11
Ho 0.250 0.250 0.250  0.07
Eu 0.750 0.750 0.750  6.85
Lu 0.500 0.500 0.500  0.08

***

6.
Compound: AgHg2P
Source: Alexandria
Functional: PBE
Structure: relaxed

VASP energy, eV per atom: -1.81
Formation energy, eV per atom: 0.407
Density, g/cm³: 7.7
M_tot, μB/atom: 0.0000

Lattice parameters (Å, degrees): 5.958 5.958 7.809 67.58 67.58 90.00
Atoms (fractional coordinates):
P 0.500 0.500 0.000
P 0.250 0.750 0.500
Hg 0.375 0.428 0.750
Hg 0.875 0.822 0.750
Hg 0.178 0.625 0.250
Hg 0.572 0.125 0.250
Ag 0.750 0.250 0.500
Ag 0.000 0.000 0.000

***

7.
Compound: LaHoPdS3
Source: Alexandria
Functional: PBE
Structure: relaxed

VASP energy, eV per atom: -6.28
Density, g/cm³: 6.4
M_tot, μB/atom: 0.0000

Lattice parameters (Å, degrees): 3.918 7.965 8.717 103.48 90.00 90.00
Atoms (fractional coordinates):
Pd 0.750 0.895 0.404
Pd 0.250 0.105 0.596
Ho 0.250 0.677 0.175
Ho 0.750 0.323 0.825
S 0.750 0.906 0.126
S 0.750 0.259 0.506
S 0.250 0.741 0.494
S 0.750 0.425 0.153
S 0.250 0.575 0.847
S 0.250 0.094 0.874
La 0.750 0.812 0.747
La 0.250 0.188 0.253

***

8.
Compound: La2WAu
Source: Alexandria
Functional: PBE
Structure: relaxed

VASP energy, eV per atom: -6.34
Formation energy, eV per atom: 0.178
Density, g/cm³: 10.7
M_tot, μB/atom: 0.1536

Lattice parameters (Å, degrees): 6.557 6.557 6.557 150.03 133.21 56.57
Each line ends with the local moment (μB).
Atoms (fractional coordinates):
La 0.717 0.217 0.500  -0.02
La 0.019 0.019 0.000  0.04
W 0.475 0.475 0.000  0.47
Au 0.290 0.790 0.500  0.01

***

9.
Compound: Mn3AlAu8
Source: Alexandria
Functional: PBE
Structure: relaxed

VASP energy, eV per atom: -4.78
Formation energy, eV per atom: 0.014
Density, g/cm³: 12.5
M_tot, μB/atom: 1.0991

Lattice parameters (Å, degrees): 7.465 7.505 7.467 49.26 108.18 130.74
Each line ends with the local moment (μB).
Atoms (fractional coordinates):
Au 0.368 0.492 0.632  0.07
Au 0.879 0.000 0.630  0.07
Au 0.632 0.508 0.368  0.07
Au 0.630 0.000 0.879  0.07
Au 0.121 0.000 0.370  0.07
Au 0.124 0.492 0.876  0.07
Au 0.370 0.000 0.121  0.07
Au 0.876 0.508 0.124  0.07
Mn 0.500 0.000 0.500  3.97
Mn 0.250 0.500 0.250  3.97
Mn 0.750 0.500 0.750  3.97
Al 0.000 0.000 0.000  0.01

***

10.
Compound: CsMgZnF6
Source: Alexandria
Functional: PBE
Structure: relaxed

VASP energy, eV per atom: -4.28
Density, g/cm³: 3.9
M_tot, μB/atom: 0.1175

Lattice parameters (Å, degrees): 7.299 7.545 7.400 120.65 119.55 90.00
Each line ends with the local moment (μB).
Atoms (fractional coordinates):
F 0.821 0.071 0.642  0.09
F 0.434 0.684 0.868  0.14
F 0.818 0.073 0.251  0.14
F 0.182 0.927 0.749  0.14
F 0.432 0.073 0.251  0.14
F 0.566 0.316 0.132  0.14
F 0.568 0.927 0.749  0.14
F 0.182 0.322 0.749  0.14
F 0.568 0.322 0.749  0.14
F 0.179 0.929 0.358  0.09
F 0.432 0.678 0.251  0.14
F 0.818 0.678 0.251  0.14
Cs 0.878 0.628 0.757  0.00
Cs 0.122 0.372 0.243  0.00
Mg 0.000 0.000 0.500  0.00
Mg 0.500 0.000 0.500  0.00
Zn 0.500 0.500 0.000  0.23
Zn 0.500 0.000 0.000  0.23

***

11.
Compound: La2SN
Source: Alexandria
Functional: PBE
Structure: relaxed

VASP energy, eV per atom: -7.07
Density, g/cm³: 5.5
M_tot, μB/atom: 0.0470

Lattice parameters (Å, degrees): 6.904 6.904 6.361 57.14 57.14 90.00
Atoms (fractional coordinates):
La 0.875 0.813 0.750
La 0.375 0.437 0.750
La 0.187 0.625 0.250
La 0.563 0.125 0.250
N 0.500 0.500 0.000
N 0.250 0.750 0.500
S 0.750 0.250 0.500
S 0.000 0.000 0.000

***

12.
Compound: LiNdTmMg
Source: Alexandria
Functional: PBE
Structure: relaxed

VASP energy, eV per atom: -3.15
Formation energy, eV per atom: 0.036
Density, g/cm³: 5.2
M_tot, μB/atom: 0.0000

Lattice parameters (Å, degrees): 5.362 5.362 5.362 60.00 60.00 60.00
Atoms (fractional coordinates):
Mg 0.500 0.500 0.500
Tm 0.750 0.750 0.750
Li 0.000 0.000 0.000
Nd 0.250 0.250 0.250

***

13.
Compound: MnPd2N2
Source: Alexandria
Functional: PBE
Structure: relaxed

VASP energy, eV per atom: -6.97
Density, g/cm³: 8.7
M_tot, μB/atom: 0.4331

Lattice parameters (Å, degrees): 2.969 2.969 7.835 77.43 77.43 57.05
Each line ends with the local moment (μB).
Atoms (fractional coordinates):
N 0.731 0.731 0.361  -0.07
N 0.269 0.269 0.639  -0.07
Pd 0.741 0.741 0.851  -0.07
Pd 0.259 0.259 0.149  -0.07
Mn 0.000 0.000 0.500  2.41

***

14.
Compound: Dy2PuScBi4
Source: Alexandria
Functional: PBE
Structure: relaxed

VASP energy, eV per atom: -6.33
Formation energy, eV per atom: -0.657
Density, g/cm³: 9.7
M_tot, μB/atom: 0.6459

Lattice parameters (Å, degrees): 4.449 7.686 7.699 109.40 90.00 90.00
Each line ends with the local moment (μB).
Atoms (fractional coordinates):
Bi 0.000 0.757 0.247  -0.07
Bi 0.500 0.240 0.241  -0.04
Bi 0.500 0.760 0.759  -0.04
Bi 0.000 0.243 0.753  -0.07
Dy 0.000 0.500 0.500  0.00
Dy 0.500 0.000 0.500  -0.07
Sc 0.000 0.000 0.000  0.01
Pu 0.500 0.500 0.000  5.28

***

15.
Compound: RuClF3
Source: Alexandria
Functional: PBE
Structure: relaxed

VASP energy, eV per atom: -4.64
Density, g/cm³: 4.0
M_tot, μB/atom: 0.4002

Lattice parameters (Å, degrees): 5.745 5.745 9.777 90.00 90.00 90.00
Each line ends with the local moment (μB).
Atoms (fractional coordinates):
F 0.889 0.632 0.144  0.14
F 0.681 0.529 0.379  0.06
F 0.111 0.368 0.644  0.14
F 0.368 0.889 0.394  0.14
F 0.319 0.471 0.879  0.06
F 0.972 0.801 0.578  0.06
F 0.801 0.028 0.328  0.06
F 0.028 0.199 0.078  0.06
F 0.529 0.319 0.129  0.06
F 0.199 0.972 0.828  0.06
F 0.471 0.681 0.629  0.06
F 0.632 0.111 0.894  0.14
Cl 0.174 0.382 0.354  0.19
Cl 0.382 0.826 0.104  0.19
Cl 0.826 0.618 0.854  0.19
Cl 0.618 0.174 0.604  0.19
Ru 0.854 0.350 0.236  1.39
Ru 0.650 0.854 0.486  1.39
Ru 0.350 0.146 0.986  1.39
Ru 0.146 0.650 0.736  1.39

***

16.
Compound: NiBi2Au
Source: Alexandria
Functional: PBE
Structure: relaxed

VASP energy, eV per atom: -3.97
Formation energy, eV per atom: 0.237
Density, g/cm³: 11.8
M_tot, μB/atom: 0.0000

Lattice parameters (Å, degrees): 7.545 7.545 6.294 53.17 53.17 90.00
Atoms (fractional coordinates):
Au 0.750 0.250 0.500
Au 0.000 0.000 0.000
Ni 0.250 0.750 0.500
Ni 0.500 0.500 0.000
Bi 0.591 0.125 0.250
Bi 0.159 0.625 0.250
Bi 0.875 0.841 0.750
Bi 0.375 0.409 0.750

***

17.
Compound: La2Cl2F
Source: Alexandria
Functional: PBE
Structure: relaxed

VASP energy, eV per atom: -5.25
Density, g/cm³: 5.0
M_tot, μB/atom: 0.0000

Lattice parameters (Å, degrees): 7.064 7.064 4.855 90.00 90.00 90.00
Atoms (fractional coordinates):
La 0.830 0.670 0.000
La 0.170 0.330 0.000
La 0.330 0.830 0.000
La 0.670 0.170 0.000
F 0.500 0.500 0.000
F 0.000 0.000 0.000
Cl 0.836 0.336 0.500
Cl 0.164 0.664 0.500
Cl 0.336 0.164 0.500
Cl 0.664 0.836 0.500

***

18.
Compound: NdDy3Cd6
Source: Alexandria
Functional: PBE
Structure: relaxed

VASP energy, eV per atom: -2.69
Formation energy, eV per atom: -0.288
Density, g/cm³: 8.4
M_tot, μB/atom: 0.0000

Lattice parameters (Å, degrees): 5.205 9.233 11.164 106.25 90.00 90.00
Atoms (fractional coordinates):
Cd 0.250 0.651 0.709
Cd 0.750 0.159 0.698
Cd 0.250 0.250 0.504
Cd 0.750 0.855 0.803
Cd 0.750 0.946 0.094
Cd 0.750 0.750 0.496
Cd 0.250 0.452 0.096
Cd 0.750 0.349 0.291
Cd 0.250 0.054 0.906
Cd 0.750 0.548 0.904
Cd 0.250 0.841 0.302
Cd 0.250 0.145 0.197
Dy 0.750 0.649 0.202
Dy 0.250 0.351 0.798
Dy 0.250 0.528 0.392
Dy 0.750 0.238 0.999
Dy 0.750 0.472 0.608
Dy 0.250 0.762 0.001
Nd 0.250 0.941 0.611
Nd 0.750 0.059 0.389

***

19.
Compound: K2MnTl
Source: Alexandria
Functional: PBE
Structure: relaxed

VASP energy, eV per atom: -2.87
Formation energy, eV per atom: 0.564
Density, g/cm³: 3.9
M_tot, μB/atom: 1.0745

Lattice parameters (Å, degrees): 6.413 6.413 3.863 90.01 90.01 115.89
Each line ends with the local moment (μB).
Atoms (fractional coordinates):
K 0.500 0.500 0.000  -0.01
K 0.000 0.000 0.000  -0.01
Mn 0.500 0.000 0.500  4.22
Tl 0.000 0.500 0.500  -0.06

***

20.
Compound: Y3Mg7Pt4
Source: Alexandria
Functional: PBE
Structure: relaxed

VASP energy, eV per atom: -4.65
Formation energy, eV per atom: -0.742
Density, g/cm³: 6.8
M_tot, μB/atom: 0.0000

Lattice parameters (Å, degrees): 4.188 8.359 9.280 72.89 76.96 75.49
Atoms (fractional coordinates):
Y 0.000 0.500 0.500
Y 0.303 0.180 0.214
Y 0.697 0.820 0.786
Mg 0.829 0.408 0.934
Mg 0.171 0.592 0.066
Mg 0.487 0.234 0.792
Mg 0.513 0.766 0.208
Mg 0.000 0.000 0.000
Mg 0.679 0.154 0.487
Mg 0.321 0.846 0.513
Pt 0.337 0.571 0.755
Pt 0.663 0.429 0.245
Pt 0.112 0.091 0.684
Pt 0.888 0.909 0.316